--- i ---
An optimized crystal structure of Pr4HgPb3, computed with GGA-PBE.

POSCAR file:
```
Pr4HgPb3
1.0
5.016 0.000 -1.354
-0.360 5.009 -1.332
-0.071 -0.111 9.704
Pr Pb Hg
4 3 1
direct
0.377 0.378 0.755
0.623 0.622 0.245
0.123 0.122 0.245
0.877 0.878 0.755
0.000 0.500 0.000
0.749 0.249 0.499
0.251 0.751 0.501
0.500 0.000 0.000
```

Computed properties:
Density of states at the Fermi level, states/eV/f.u.: 7.43

--- ii ---
An optimized crystal structure of Pr4HgPb3, computed with GGA-PBE.

POSCAR file:
```
Pr4HgPb3
1.0
-2.251 -2.211 3.430
-2.797 -1.927 -3.078
7.557 -9.305 -1.041
Pr Hg Pb
4 1 3
direct
0.500 0.500 0.361
0.000 0.500 0.867
0.000 0.000 0.133
0.500 0.000 0.634
0.500 0.500 0.090
0.000 0.500 0.596
0.000 0.000 0.405
0.500 0.000 0.913
```

Computed properties:
Density of states at the Fermi level, states/eV/f.u.: 8.87

Least stable: i

--- i ---
An optimized crystal structure of Pr2Hg6Pb, computed with GGA-PBE.

POSCAR file:
```
Pr2Hg6Pb
1.0
-5.159 2.980 0.764
-3.476 -5.838 -0.762
-1.420 -3.872 5.453
Pr Hg Pb
2 6 1
direct
0.816 0.667 0.667
0.184 0.333 0.333
0.330 0.373 0.814
0.328 0.814 0.814
0.330 0.814 0.373
0.670 0.627 0.186
0.672 0.186 0.186
0.670 0.186 0.627
0.000 0.000 0.000
```

Computed properties:
Density of states at the Fermi level, states/eV/f.u.: 5.36

--- ii ---
An optimized crystal structure of Pr2Hg6Pb, computed with GGA-PBE.

POSCAR file:
```
Pr2Hg6Pb
1.0
-2.532 0.497 2.394
-1.940 -8.632 -0.260
6.029 3.010 5.740
Pr Hg Pb
2 6 1
direct
0.000 0.333 0.667
0.000 0.667 0.333
0.501 0.332 0.332
0.499 0.668 0.668
0.499 0.000 0.668
0.500 0.668 0.000
0.500 0.332 0.000
0.501 0.000 0.332
0.000 0.000 0.000
```

Computed properties:
Density of states at the Fermi level, states/eV/f.u.: 5.08

Least stable: i

--- i ---
An optimized crystal structure of PrHgPb2, computed with GGA-PBE.

POSCAR file:
```
PrHgPb2
1.0
3.610 0.000 0.000
1.805 3.126 0.000
1.805 1.042 11.366
Pb Pr Hg
2 1 1
direct
0.095 0.095 0.715
0.905 0.905 0.285
0.000 0.000 0.000
0.500 0.500 0.500
```

Computed properties:
Density of states at the Fermi level, states/eV/f.u.: 2.19

--- ii ---
An optimized crystal structure of PrHgPb2, computed with GGA-PBE.

POSCAR file:
```
PrHgPb2
1.0
-4.497 0.958 -0.782
-1.284 -3.034 3.669
0.245 3.753 3.189
Pb Pr Hg
2 1 1
direct
0.000 0.000 0.500
0.000 0.500 0.000
0.500 0.000 0.000
0.500 0.500 0.500
```

Computed properties:
Density of states at the Fermi level, states/eV/f.u.: 1.60

Least stable: i

--- i ---
An optimized crystal structure of Pr2HgPb2, computed with GGA-PBE.

POSCAR file:
```
Pr2HgPb2
1.0
-1.174 1.368 -4.366
-5.137 -3.288 -2.205
-8.051 7.316 1.901
Pr Hg Pb
4 2 4
direct
0.322 0.254 0.102
0.502 0.320 0.677
0.678 0.746 0.898
0.498 0.680 0.323
0.778 0.144 0.300
0.222 0.856 0.700
0.950 0.209 0.890
0.149 0.245 0.458
0.050 0.791 0.110
0.851 0.755 0.542
```

Computed properties:
Density of states at the Fermi level, states/eV/f.u.: 3.41

--- ii ---
An optimized crystal structure of Pr2HgPb2, computed with GGA-PBE.

POSCAR file:
```
Pr2HgPb2
1.0
4.898 0.000 0.000
0.000 7.298 0.000
-2.449 0.000 8.755
Pr Hg Pb
4 2 4
direct
0.989 0.740 0.978
0.797 0.407 0.594
0.203 0.907 0.406
0.011 0.240 0.022
0.402 0.069 0.804
0.598 0.569 0.196
0.421 0.488 0.841
0.822 0.931 0.644
0.178 0.431 0.356
0.579 0.988 0.159
```

Computed properties:
Density of states at the Fermi level, states/eV/f.u.: 1.33

Least stable: ii

--- i ---
An optimized crystal structure of PrHg6Pb, computed with GGA-PBE.

POSCAR file:
```
PrHg6Pb
1.0
5.173 0.000 0.000
0.000 6.050 -3.250
0.000 -0.236 6.864
Pr Hg Pb
1 6 1
direct
0.000 0.083 0.917
0.000 0.064 0.407
0.000 0.593 0.936
0.000 0.592 0.408
0.500 0.419 0.084
0.500 0.916 0.581
0.500 0.916 0.084
0.500 0.417 0.583
```

Computed properties:
Density of states at the Fermi level, states/eV/f.u.: 4.08

--- ii ---
An optimized crystal structure of PrHg6Pb, computed with GGA-PBE.

POSCAR file:
```
PrHg6Pb
1.0
4.907 -1.378 -0.114
-1.006 4.996 -0.114
0.346 0.321 9.608
Pr Hg Pb
1 6 1
direct
0.500 0.500 0.500
0.170 0.830 0.329
0.830 0.170 0.329
0.170 0.830 0.671
0.830 0.170 0.671
0.501 0.501 0.839
0.499 0.499 0.161
0.000 0.000 0.000
```

Computed properties:
Density of states at the Fermi level, states/eV/f.u.: 3.12

Least stable: ii

--- i ---
An optimized crystal structure of PrSnHgPb, computed with GGA-PBE.

POSCAR file:
```
PrSnHgPb
1.0
5.488 0.000 0.000
2.744 4.753 0.000
2.744 1.584 4.481
Pb Pr Hg Sn
1 1 1 1
direct
0.500 0.500 0.500
0.000 0.000 0.000
0.750 0.750 0.750
0.250 0.250 0.250
```

Computed properties:
Density of states at the Fermi level, states/eV/f.u.: 3.37

--- ii ---
An optimized crystal structure of PrSnHgPb, computed with GGA-PBE.

POSCAR file:
```
PrSnHgPb
1.0
4.658 0.000 0.000
0.000 4.867 0.000
0.000 0.000 4.846
Pr Sn Hg Pb
1 1 1 1
direct
0.000 0.500 0.500
0.500 0.500 0.000
0.000 0.000 0.000
0.500 0.000 0.500
```

Computed properties:
Density of states at the Fermi level, states/eV/f.u.: 1.93

Least stable: i

--- i ---
An optimized crystal structure of PrTlHgPb, computed with GGA-PBE.

POSCAR file:
```
PrTlHgPb
1.0
-1.770 2.106 -4.736
0.879 -2.688 -4.691
-4.189 -2.340 -2.643
Pb Pr Tl Hg
1 1 1 1
direct
0.750 0.750 0.750
0.250 0.250 0.250
0.000 0.000 0.000
0.500 0.500 0.500
```

Computed properties:
Density of states at the Fermi level, states/eV/f.u.: 2.18

--- ii ---
An optimized crystal structure of PrTlHgPb, computed with GGA-PBE.

POSCAR file:
```
PrTlHgPb
1.0
-3.075 2.609 2.492
-1.865 -4.110 2.002
3.166 0.309 3.583
Pr Tl Hg Pb
1 1 1 1
direct
0.500 0.500 0.000
0.000 0.000 0.000
0.500 0.000 0.500
0.000 0.500 0.500
```

Computed properties:
Density of states at the Fermi level, states/eV/f.u.: 1.74

Least stable: i

--- i ---
An optimized crystal structure of PrTmHgPb, computed with GGA-PBE.

POSCAR file:
```
PrTmHgPb
1.0
-1.661 3.167 -4.061
-5.261 1.132 -0.571
-1.821 4.990 1.031
Pb Pr Tm Hg
1 1 1 1
direct
0.250 0.250 0.250
0.500 0.500 0.500
0.000 0.000 0.000
0.750 0.750 0.750
```

Computed properties:
Density of states at the Fermi level, states/eV/f.u.: 4.69

--- ii ---
An optimized crystal structure of PrTmHgPb, computed with GGA-PBE.

POSCAR file:
```
PrTmHgPb
1.0
-2.860 0.467 -2.518
-2.480 -1.447 2.549
-1.262 6.960 2.723
Pr Tm Hg Pb
1 1 1 1
direct
0.000 0.000 0.850
0.000 0.000 0.370
0.500 0.500 0.584
0.500 0.500 0.124
```

Computed properties:
Density of states at the Fermi level, states/eV/f.u.: 3.27

Least stable: i

--- i ---
An optimized crystal structure of HgPt2Pb2, computed with GGA-PBE.

POSCAR file:
```
HgPt2Pb2
1.0
-4.325 5.227 3.429
-4.390 0.430 -6.191
-2.297 -2.840 1.432
Pb Hg Pt
4 2 4
direct
0.161 0.661 0.500
0.661 0.839 0.500
0.839 0.339 0.500
0.339 0.161 0.500
0.000 0.000 0.000
0.500 0.500 0.000
0.363 0.863 0.000
0.863 0.637 0.000
0.637 0.137 0.000
0.137 0.363 0.000
```

Computed properties:
Density of states at the Fermi level, states/eV/f.u.: 2.57

--- ii ---
An optimized crystal structure of HgPt2Pb2, computed with GGA-PBE.

POSCAR file:
```
HgPt2Pb2
1.0
3.979 0.000 0.000
0.000 3.979 0.000
1.989 1.989 8.379
Pb Hg Pt
2 1 2
direct
0.369 0.369 0.262
0.631 0.631 0.738
0.000 0.000 0.000
0.750 0.250 0.500
0.250 0.750 0.500
```

Computed properties:
Density of states at the Fermi level, states/eV/f.u.: 1.63

Least stable: i

--- i ---
An optimized crystal structure of HgPt3Pb, computed with GGA-PBE.

POSCAR file:
```
HgPt3Pb
1.0
-4.701 -1.866 0.130
1.387 -3.241 3.629
-1.255 3.408 3.522
Pb Hg Pt
1 1 3
direct
0.500 0.500 0.500
0.000 0.000 0.000
0.000 0.500 0.000
0.000 0.000 0.500
0.500 0.000 0.000
```

Computed properties:
Density of states at the Fermi level, states/eV/f.u.: 6.70

--- ii ---
An optimized crystal structure of HgPt3Pb, computed with GGA-PBE.

POSCAR file:
```
HgPt3Pb
1.0
5.082 0.000 0.000
0.000 5.082 0.000
0.000 0.000 5.082
Pb Hg Pt
1 1 3
direct
0.000 0.000 0.000
0.500 0.500 0.500
0.000 0.500 0.000
0.000 0.000 0.500
0.500 0.000 0.000
```

Computed properties:
Density of states at the Fermi level, states/eV/f.u.: 3.94

Least stable: ii

--- i ---
An optimized crystal structure of PuHg4Pb, computed with GGA-PBE.

POSCAR file:
```
PuHg4Pb
1.0
6.088 0.000 0.000
3.044 5.272 0.000
3.044 1.757 4.971
Pb Hg Pu
1 4 1
direct
0.000 0.000 0.000
0.625 0.625 0.125
0.625 0.125 0.625
0.625 0.625 0.625
0.125 0.625 0.625
0.250 0.250 0.250
```

Computed properties:
Density of states at the Fermi level, states/eV/f.u.: 18.11

--- ii ---
An optimized crystal structure of PuHg4Pb, computed with GGA-PBE.

POSCAR file:
```
PuHg4Pb
1.0
-1.178 -2.796 4.204
4.854 -2.077 3.175
-2.204 3.254 4.743
Pu Hg Pb
1 4 1
direct
0.500 0.500 0.500
0.760 0.574 0.906
0.240 0.426 0.094
0.240 0.094 0.426
0.760 0.906 0.574
0.000 0.000 0.000
```

Computed properties:
Density of states at the Fermi level, states/eV/f.u.: 14.28

Least stable: i

--- i ---
An optimized crystal structure of PuHgSbPb, computed with GGA-PBE.

POSCAR file:
```
PuHgSbPb
1.0
4.526 0.000 0.000
0.000 4.592 0.000
0.000 0.000 5.106
Pu Hg Sb Pb
1 1 1 1
direct
0.500 0.500 0.000
0.500 0.000 0.500
0.000 0.000 0.000
0.000 0.500 0.500
```

Computed properties:
Density of states at the Fermi level, states/eV/f.u.: 10.51

--- ii ---
An optimized crystal structure of PuHgSbPb, computed with GGA-PBE.

POSCAR file:
```
PuHgSbPb
1.0
-1.496 2.818 -4.373
-5.168 -0.042 -1.609
-3.043 4.443 0.553
Pb Sb Hg Pu
1 1 1 1
direct
0.250 0.250 0.250
0.500 0.500 0.500
0.000 0.000 0.000
0.750 0.750 0.750
```

Computed properties:
Density of states at the Fermi level, states/eV/f.u.: 15.45

Least stable: ii

--- i ---
An optimized crystal structure of PuThHgPb, computed with GGA-PBE.

POSCAR file:
```
PuThHgPb
1.0
-0.868 -1.845 -3.578
-0.359 -3.610 1.948
-6.482 1.167 0.970
Pu Th Hg Pb
1 1 1 1
direct
0.000 0.000 0.355
0.000 0.000 0.859
0.500 0.500 0.603
0.500 0.500 0.110
```

Computed properties:
Density of states at the Fermi level, states/eV/f.u.: 12.10

--- ii ---
An optimized crystal structure of PuThHgPb, computed with GGA-PBE.

POSCAR file:
```
PuThHgPb
1.0
5.455 0.000 0.000
2.728 4.724 0.000
2.728 1.575 4.454
Pb Hg Th Pu
1 1 1 1
direct
0.250 0.250 0.250
0.750 0.750 0.750
0.500 0.500 0.500
0.000 0.000 0.000
```

Computed properties:
Density of states at the Fermi level, states/eV/f.u.: 12.12

Least stable: ii

--- i ---
An optimized crystal structure of PuTlHgPb, computed with GGA-PBE.

POSCAR file:
```
PuTlHgPb
1.0
4.671 0.000 0.000
0.000 4.907 0.000
0.000 0.000 4.697
Pu Tl Hg Pb
1 1 1 1
direct
0.500 0.500 0.000
0.000 0.000 0.000
0.500 0.000 0.500
0.000 0.500 0.500
```

Computed properties:
Density of states at the Fermi level, states/eV/f.u.: 13.04

--- ii ---
An optimized crystal structure of PuTlHgPb, computed with GGA-PBE.

POSCAR file:
```
PuTlHgPb
1.0
5.413 0.000 0.000
2.707 4.688 0.000
2.707 1.563 4.420
Pb Tl Hg Pu
1 1 1 1
direct
0.000 0.000 0.000
0.750 0.750 0.750
0.500 0.500 0.500
0.250 0.250 0.250
```

Computed properties:
Density of states at the Fermi level, states/eV/f.u.: 14.88

Least stable: ii